1.
KMnPt2 | PBE | optimized geometry

```
KMnPt2
1.0
-2.7401 5.5089 0.7473
-5.3621 1.4865 -2.7300
3.5295 -3.2772 3.9010
K Mn Pt
1 1 2
Direct
0.5027 0.5027 0.0000
0.2050 0.7050 0.5000
0.0053 0.0053 0.0000
0.7870 0.2870 0.5000
```

2.
KMnPt | PBE | optimized geometry

```
KMnPt
1.0
4.0736 -2.3519 0.0000
0.0000 4.7037 0.0000
0.0000 0.0000 7.7138
K Mn Pt
2 2 2
Direct
0.6667 0.3333 0.0000
0.6667 0.3333 0.5000
0.3333 0.6667 0.1342
0.3333 0.6667 0.8658
0.0000 0.0000 0.1744
0.0000 0.0000 0.8256
```

Properties
The offset from the most stable computed form comes out at 2.21 eV/f.u.

3.
KMnPt2 | PBE | optimized geometry

```
KMnPt2
1.0
4.2675 -0.0195 0.0008
3.3367 2.6606 0.0008
0.6701 0.2327 7.5628
K Mn Pt
1 1 2
Direct
0.2500 0.2500 0.2500
0.7500 0.7500 0.7500
0.0147 0.0147 0.9197
0.4853 0.4853 0.5803
```

4.
KMnPt2 | PBE | optimized geometry

```
KMnPt2
1.0
2.9119 0.0000 0.0000
0.0000 2.9119 0.0000
0.0000 0.0000 9.4397
K Mn Pt
1 1 2
Direct
0.0000 0.0000 0.4749
0.5000 0.5000 0.8208
0.0000 0.0000 0.9962
0.5000 0.5000 0.2081
```

5.
KMnPt | PBE | optimized geometry

```
KMnPt
1.0
3.5380 0.0442 0.0257
1.5257 11.1900 0.6931
1.7561 -0.8544 4.3705
K Mn Pt
2 2 2
Direct
0.9090 0.3398 0.0104
0.9076 0.6990 0.6216
0.0457 0.9112 0.1425
0.7688 0.1275 0.4902
0.3009 0.9600 0.5844
0.5138 0.0789 0.0483
```

Properties
The offset from the most stable computed form comes out at 0.26 eV/f.u.

6.
KMnPt | PBE | optimized geometry

```
KMnPt
1.0
-2.7888 0.8254 -4.1641
-0.8480 -4.1183 2.8493
-3.7336 2.8960 3.0745
K Mn Pt
2 2 2
Direct
0.0000 0.0000 0.7502
0.0000 0.0000 0.2502
0.3333 0.6667 0.9997
0.6667 0.3333 0.4997
0.3333 0.6667 0.5002
0.6667 0.3333 0.0002
```

Properties
The offset from the most stable computed form comes out at 1.09 eV/f.u.

7.
KMnPt | PBE | optimized geometry

```
KMnPt
1.0
7.5655 0.0000 0.0000
0.0000 4.3357 0.0000
0.0000 0.0000 11.3709
K Mn Pt
4 4 4
Direct
0.8693 0.2500 0.3589
0.6307 0.7500 0.8589
0.1307 0.7500 0.6411
0.3693 0.2500 0.1411
0.0350 0.2500 0.9163
0.4650 0.7500 0.4163
0.9650 0.7500 0.0837
0.5350 0.2500 0.5837
0.2984 0.2500 0.4299
0.2016 0.7500 0.9299
0.7016 0.7500 0.5701
0.7984 0.2500 0.0701
```

Properties
The offset from the most stable computed form comes out at 0.77 eV/f.u.

8.
KMnPt2 | PBE | optimized geometry

```
KMnPt2
1.0
-3.1111 -1.0704 0.5516
1.1175 -3.1358 0.2172
1.0379 0.8957 7.5917
K Mn Pt
1 1 2
Direct
0.0000 0.0000 0.4853
0.5000 0.5000 0.8521
0.0000 0.0000 0.9772
0.5000 0.5000 0.1854
```

9.
KMnPt | PBE | optimized geometry

```
KMnPt
1.0
6.5705 -0.2685 -0.3151
0.2167 4.6633 0.4460
-1.8652 -0.3768 4.8434
K Mn Pt
2 2 2
Direct
0.0142 0.7214 0.5635
0.0085 0.2208 0.0743
0.5004 0.2178 0.9435
0.4969 0.7178 0.2354
0.5387 0.2177 0.4564
0.5480 0.7178 0.7675
```

Properties
The offset from the most stable computed form comes out at 0.08 eV/f.u.

10.
KMnPt | PBE | optimized geometry

```
KMnPt
1.0
12.2834 0.0643 0.0016
0.2803 2.9449 0.0000
0.0004 -0.0001 4.2554
K Mn Pt
2 2 2
Direct
0.8446 0.4255 0.8230
0.1910 0.6987 0.3231
0.5871 0.5308 0.8236
0.4484 0.5870 0.3237
0.3928 0.1105 0.8237
0.6427 0.0081 0.3235
```

Properties
The offset from the most stable computed form comes out at 0.06 eV/f.u.

11.
KMn3Pt | PBE | optimized geometry

```
KMn3Pt
1.0
-4.0894 -2.3738 -1.7833
0.3215 -3.3716 3.7507
-2.9516 2.9217 2.8793
K Mn Pt
1 3 1
Direct
0.5000 0.5000 0.5000
0.0000 0.5000 0.0000
0.0000 0.0000 0.5000
0.5000 0.0000 0.0000
0.0000 0.0000 0.0000
```

Properties
The offset from the most stable computed form comes out at 0.00 eV/f.u.

12.
KMn3Pt | PBE | optimized geometry

```
KMn3Pt
1.0
4.5522 0.0000 0.0000
0.0000 4.5522 0.0000
0.0000 0.0000 4.5522
K Mn Pt
1 3 1
Direct
0.0000 0.0000 0.0000
0.0000 0.5000 0.0000
0.0000 0.0000 0.5000
0.5000 0.0000 0.0000
0.5000 0.5000 0.5000
```

Properties
The offset from the most stable computed form comes out at 7.67 eV/f.u.

13.
KMnPt2 | PBE | optimized geometry

```
KMnPt2
1.0
7.6471 0.0000 0.0000
0.0000 7.6471 0.0000
3.8235 3.8235 2.8379
K Mn Pt
2 2 4
Direct
0.5000 0.5000 0.0000
0.2500 0.7500 0.5000
0.0000 0.0000 0.0000
0.7500 0.2500 0.5000
0.6766 0.1250 0.2500
0.0734 0.6250 0.2500
0.3750 0.3234 0.7500
0.8750 0.9266 0.7500
```

14.
KMnPt | PBE | optimized geometry

```
KMnPt
1.0
-4.6148 5.8857 -0.6591
-4.9540 -3.5831 -0.1945
-0.2109 0.1470 2.7891
K Mn Pt
2 2 2
Direct
0.2702 0.9116 0.7512
0.7298 0.0884 0.2488
0.0761 0.4068 0.7498
0.9239 0.5932 0.2502
0.3553 0.4277 0.2499
0.6447 0.5723 0.7501
```

Properties
The offset from the most stable computed form comes out at 0.97 eV/f.u.

15.
KMnPt | PBE | optimized geometry

```
KMnPt
1.0
11.2066 1.1514 0.1440
1.5987 4.2394 -0.8566
0.6174 -3.0576 4.7476
K Mn Pt
2 2 2
Direct
0.8228 0.1229 0.4807
0.2101 0.3620 0.5614
0.4521 0.8511 0.7283
0.5977 0.6029 0.2766
0.5080 0.3753 0.8365
0.5158 0.1263 0.1965
```

Properties
The offset from the most stable computed form comes out at 0.74 eV/f.u.

16.
KMnPt | PBE | optimized geometry

```
KMnPt
1.0
7.9456 0.0000 0.0000
0.0000 4.3339 0.0000
0.0000 0.0000 6.9947
K Mn Pt
4 4 4
Direct
0.0097 0.2500 0.8577
0.4903 0.7500 0.3577
0.9903 0.7500 0.1423
0.5097 0.2500 0.6423
0.8532 0.2500 0.4229
0.6468 0.7500 0.9229
0.1468 0.7500 0.5771
0.3532 0.2500 0.0771
0.1542 0.2500 0.4125
0.3458 0.7500 0.9125
0.8458 0.7500 0.5875
0.6542 0.2500 0.0875
```

Properties
The offset from the most stable computed form comes out at 1.89 eV/f.u.

17.
KMnPt | PBE | optimized geometry

```
KMnPt
1.0
-3.4979 -1.9144 0.3074
2.7217 -1.2231 -2.6630
4.3693 -6.7674 7.5738
K Mn Pt
2 2 2
Direct
0.0000 0.0000 0.0000
0.0000 0.0000 0.5000
0.3333 0.6667 0.7500
0.6667 0.3333 0.2500
0.3333 0.6667 0.2500
0.6667 0.3333 0.7500
```

Properties
The offset from the most stable computed form comes out at 1.89 eV/f.u.

18.
K3MnPt | PBE | optimized geometry

```
K3MnPt
1.0
-5.9779 0.5423 -1.4331
-0.5790 -6.1433 0.0904
-1.4187 0.2220 6.0018
K Mn Pt
3 1 1
Direct
0.0000 0.5000 0.0000
0.0000 0.0000 0.5000
0.5000 0.0000 0.0000
0.5000 0.5000 0.5000
0.0000 0.0000 0.0000
```

Properties
The offset from the most stable computed form comes out at 0.00 eV/f.u.

19.
KMnPt | PBE | optimized geometry

```
KMnPt
1.0
-0.7364 2.4691 -1.6386
-10.8054 0.9113 6.3838
1.7710 2.3040 2.6767
K Mn Pt
2 2 2
Direct
0.8162 0.3513 0.4947
0.2935 0.6873 0.9957
0.8071 0.0876 0.4920
0.3028 0.9513 0.9922
0.8003 0.8790 0.4927
0.3095 0.1599 0.9923
```

Properties
The offset from the most stable computed form comes out at 0.00 eV/f.u.

20.
KMnPt | PBE | optimized geometry

```
KMnPt
1.0
6.4533 -0.1669 -0.0565
4.5776 4.5518 0.0565
-5.1921 -3.0058 2.3839
K Mn Pt
1 1 1
Direct
0.0033 0.0033 0.0000
0.2699 0.2699 0.0000
0.7268 0.7268 0.0000
```

Properties
The offset from the most stable computed form comes out at 0.34 eV/f.u.

| no. | E_form (kJ per mole of atoms) | raw total energy (Ry per atom) |
| --- | --- | --- |
| 1 | 17 | -0.3979 |
| 2 | 71 | -0.3456 |
| 3 | 4 | -0.4076 |
| 4 | 23 | -0.3933 |
| 5 | 8 | -0.3935 |
| 6 | 35 | -0.3731 |
| 7 | 24 | -0.3809 |
| 8 | 17 | -0.3977 |
| 9 | 2 | -0.3979 |
| 10 | 1 | -0.3985 |
| 11 | 55 | -0.4677 |
| 12 | 203 | -0.3549 |
| 13 | 30 | -0.3874 |
| 14 | 31 | -0.3760 |
| 15 | 23 | -0.3817 |
| 16 | 60 | -0.3536 |
| 17 | 60 | -0.3535 |
| 18 | 60 | -0.2264 |
| 19 | 0 | -0.3999 |
| 20 | 10 | -0.3916 |